The following is a GGA-PBE calculation of a geometry-optimized YGa2SiRh4 structure, from Alexandria.

```
YGa2SiRh4
1.0
-1.138 4.176 0.035
-1.204 1.884 3.706
6.528 4.000 2.614
Y Ga Si Rh
1 2 1 4
Direct
0.000 0.000 0.000
0.751 0.751 0.747
0.249 0.249 0.253
0.500 0.500 0.500
0.399 0.399 0.803
0.867 0.867 0.399
0.133 0.133 0.601
0.601 0.601 0.197
```

Output
**Electronic total energy**: -6.70 eV per atom
**Total magnetization**: 0.00 μB/atom
**SG**: R-3m, No. 166
**Uncorrected formation energy**: -75.15 kJ/mol of atoms
**Theoretical density**: 8.887 Mg/m³